No. 1
DFT (GGA-PBEsol) results for an optimized crystal structure of LiAl2Se.

## Properties
magnetic moment	0.0	μB/f.u.
raw formation energy	-0.1834	eV/atom
raw total energy	-3.683	eV/atom

Lattice parameters (Å, degrees): 4.7487 4.7487 3.4254 90.00 90.00 113.23
Atoms (fractional coordinates):
Li (0.0000, 0.0000, 0.0000)
Al (0.0000, 0.5000, 0.5000)
Al (0.5000, 0.0000, 0.5000)
Se (0.5000, 0.5000, 0.0000)

=====

No. 2
DFT (GGA-PBEsol) results for an optimized crystal structure of Hf2Al.

## Properties
magnetic moment	0.0	μB/f.u.
energy relative to the elements	-0.75	eV/f.u.
raw total energy	-8.615	eV/atom

Lattice parameters (Å, degrees): 5.4356 5.4356 5.4356 103.09 103.09 123.17
Atoms (fractional coordinates):
Hf (0.1509, 0.6509, 0.8018)
Hf (0.3491, 0.1509, 0.5000)
Hf (0.6509, 0.8491, 0.5000)
Hf (0.8491, 0.3491, 0.1982)
Al (0.2500, 0.2500, 0.0000)
Al (0.7500, 0.7500, 0.0000)

=====

No. 3
DFT (GGA-PBEsol) results for an optimized crystal structure of ZnO.

## Properties
magnetic moment	0.0	μB/f.u.
raw formation energy	-1.4297	eV/atom
raw total energy	-4.845	eV/atom

Lattice parameters (Å, degrees): 3.2226 3.2226 3.2226 60.00 60.00 60.00
Atoms (fractional coordinates):
Zn (0.0000, 0.0000, 0.0000)
O (0.2500, 0.2500, 0.2500)

=====

No. 4
DFT (GGA-PBEsol) results for an optimized crystal structure of CuNi2W.

## Properties
magnetic moment	2.4	μB/f.u.
energy relative to the elements	1.22	eV/f.u.
raw total energy	-7.308	eV/atom

Lattice parameters (Å, degrees): 3.7678 3.7678 3.3989 90.00 90.00 90.00
Atoms (fractional coordinates):
Cu (0.0000, 0.0000, 0.0000)
Ni (0.0000, 0.5000, 0.5000)
Ni (0.5000, 0.0000, 0.5000)
W (0.5000, 0.5000, 0.0000)

=====

No. 5
DFT (GGA-PBEsol) results for an optimized crystal structure of Ba2ZnN2.

## Properties
magnetic moment	0.0	μB/f.u.
raw formation energy	-0.5063	eV/atom
raw total energy	-5.093	eV/atom

Lattice parameters (Å, degrees): 7.0748 7.0748 7.0748 145.91 145.91 48.98
Atoms (fractional coordinates):
Ba (0.1547, 0.1547, 0.0000)
Ba (0.8453, 0.8453, 0.0000)
Zn (0.5000, 0.5000, 0.0000)
N (0.3585, 0.3585, 0.0000)
N (0.6415, 0.6415, 0.0000)

=====

No. 6
DFT (GGA-PBEsol) results for an optimized crystal structure of ZrTe2Pb.

## Properties
magnetic moment	0.0	μB/f.u.
raw formation energy	-0.1919	eV/atom
raw total energy	-5.227	eV/atom

Lattice parameters (Å, degrees): 9.7373 9.7373 9.7373 21.57 21.57 21.57
Atoms (fractional coordinates):
Zr (0.0000, 0.0000, 0.0000)
Te (0.2685, 0.2685, 0.2685)
Te (0.4985, 0.4985, 0.4985)
Pb (0.7485, 0.7485, 0.7485)

=====

No. 7
DFT (GGA-PBEsol) results for an optimized crystal structure of Li2HfBi.

## Properties
magnetic moment	0.0	μB/f.u.
energy relative to the elements	0.40	eV/f.u.
raw total energy	-4.580	eV/atom

Lattice parameters (Å, degrees): 11.1862 11.1862 11.1862 158.84 158.84 30.09
Atoms (fractional coordinates):
Li (0.1231, 0.6250, 0.9981)
Li (0.3750, 0.3731, 0.4981)
Li (0.6269, 0.1250, 0.0019)
Li (0.8750, 0.8769, 0.5019)
Hf (0.0000, 0.0000, 0.0000)
Hf (0.7500, 0.2500, 0.5000)
Bi (0.2500, 0.7500, 0.5000)
Bi (0.5000, 0.5000, 0.0000)

=====

No. 8
DFT (GGA-PBEsol) results for an optimized crystal structure of TcAg3.

## Properties
magnetic moment	0.9	μB/f.u.
energy relative to the elements	2.12	eV/f.u.
raw total energy	-4.770	eV/atom

Lattice parameters (Å, degrees): 5.6441 5.6441 5.6441 152.47 128.50 59.38
Atoms (fractional coordinates):
Tc (0.0000, 0.0000, 0.0000)
Ag (0.2485, 0.7485, 0.5000)
Ag (0.5000, 0.5000, 0.0000)
Ag (0.7515, 0.2515, 0.5000)

=====

Which of these has the highest magnetic moment? CuNi2W

=====

Look up the magnetic moment of the fourth one. 2.4 μB/f.u.

=====

What is the magnetic moment in the fourth record? 2.4 μB/f.u.

=====

raw total energy of number 3 (ZnO)? -4.845 eV/atom